Below is a relaxed LiTlV2O6 crystal, with properties calculated at the GGA+U level.

a b c (Å): 10.7028 11.6308 6.0101
angles (deg): 90.00 111.65 90.00
Last column: nearest neighbours and their distance in Å.
Space group C2/c (No. 15)
Unique sites:
Li: 0.0000 0.2297 0.2500 (multiplicity 4)  4 O 1.98-1.99
Tl: 0.0000 0.1257 0.7500 (multiplicity 4)  4 O 2.70-2.76
V: 0.1932 0.4179 0.6623 (multiplicity 8)  4 O 1.68-1.82
O: 0.0911 0.3036 0.5647 (multiplicity 8)  1 V 1.68
O: 0.1448 0.1252 0.2365 (multiplicity 8)  1 V 1.69
O: 0.1651 0.4839 0.9150 (multiplicity 8)  2 V 1.81-1.82

Computed properties:
The density of states at the Fermi level comes out at 0.0 states/eV/cell. Its total energy is -267.76 eV per cell. As for the mass density: 3.91 g/cm3. For the volume, the calculation gives 17.38 Å³/atom.